Record 1
DFT (PBE) results for a relaxed Al2NiW crystal.

The space group is I-4m2 (No. 119) and the conventional cell measures 3.658, 3.658 and 8.397 Å, with angles of 90.00, 90.00 and 90.00 degrees. The inequivalent atoms are Al at (0.000, 0.000, 0.000), Al at (0.000, 0.500, 0.250), Ni at (0.000, 0.500, 0.750) and W at (0.000, 0.000, 0.500).

Its energy above the most stable polymorph in this dataset is 0.177 eV/atom. For the density of states at the Fermi level, the calculation gives 3.987 states/eV/f.u. The calculation puts the raw total energy at -6.668 eV per atom.


Record 2
DFT (PBE) results for a relaxed AlNiW2 crystal.

The space group is C2/m (No. 12) and the conventional cell measures 5.218, 8.426 and 2.696 Å, with angles of 90.00, 100.95 and 90.00 degrees. The inequivalent atoms are Al at (0.000, 0.000, 0.000), Ni at (0.000, 0.500, 0.000) and W at (0.250, 0.250, 0.500).

For the density of states at the Fermi level, the calculation gives 3.724 states/eV/f.u. The calculation puts the raw total energy at -8.823 eV per atom.


Record 3
DFT (PBE) results for a relaxed Al2NiW crystal.

The space group is Pmm2 (No. 25) and the conventional cell measures 2.804, 3.495 and 5.721 Å, with angles of 90.00, 90.00 and 90.00 degrees. The inequivalent atoms are Al at (0.000, 0.000, 0.000), Al at (0.500, 0.500, 0.269), Ni at (0.000, 0.000, 0.468) and W at (0.500, 0.500, 0.745).

Its energy above the most stable polymorph in this dataset is 0.169 eV/atom. For the density of states at the Fermi level, the calculation gives 1.926 states/eV/f.u. The calculation puts the raw total energy at -6.676 eV per atom.


Record 4
DFT (PBE) results for a relaxed AlNiW2 crystal.

The space group is Pmmm (No. 47) and the conventional cell measures 2.696, 4.096 and 5.257 Å, with angles of 90.00, 90.00 and 90.00 degrees. The inequivalent atoms are Al at (0.000, 0.000, 0.000), Ni at (0.000, 0.000, 0.500) and W at (0.500, 0.500, 0.252).

For the density of states at the Fermi level, the calculation gives 3.679 states/eV/f.u. The calculation puts the raw total energy at -8.838 eV per atom.


Record 5
DFT (PBE) results for a relaxed AlNiW2 crystal.

The space group is Cmmm (No. 65) and the conventional cell measures 5.233, 8.243 and 2.696 Å, with angles of 90.00, 90.00 and 90.00 degrees. The inequivalent atoms are Al at (0.000, 0.000, 0.000), Ni at (0.000, 0.500, 0.000) and W at (0.250, 0.250, 0.500).

For the density of states at the Fermi level, the calculation gives 4.229 states/eV/f.u. The calculation puts the raw total energy at -8.807 eV per atom.


Record 6
DFT (PBE) results for a relaxed AlNi3W crystal.

The space group is Pm-3m (No. 221) and the conventional cell measures 4.149, 4.149 and 4.149 Å, with angles of 90.00, 90.00 and 90.00 degrees. The inequivalent atoms are Al at (0.000, 0.000, 0.000), Ni at (0.000, 0.000, 0.500) and W at (0.500, 0.500, 0.500).

Its energy above the most stable polymorph in this dataset is 0.000 eV/atom. For the density of states at the Fermi level, the calculation gives 6.754 states/eV/f.u. The calculation puts the raw total energy at -5.790 eV per atom.


Record 7
DFT (PBE) results for a relaxed Al2NiW crystal.

The space group is P2/m (No. 10) and the conventional cell measures 2.726, 4.023 and 5.237 Å, with angles of 90.00, 98.06 and 90.00 degrees. The inequivalent atoms are Al at (0.130, 0.000, 0.258), Ni at (0.000, 0.500, 0.500) and W at (0.500, 0.500, 0.000).

Its energy above the most stable polymorph in this dataset is 0.159 eV/atom. For the density of states at the Fermi level, the calculation gives 2.576 states/eV/f.u. The calculation puts the raw total energy at -6.685 eV per atom.


Record 8
DFT (PBE) results for a relaxed Al2NiW crystal.

The space group is I-42d (No. 122) and the conventional cell measures 6.676, 6.676 and 5.275 Å, with angles of 90.00, 90.00 and 90.00 degrees. The inequivalent atoms are Al at (0.210, 0.750, 0.125), Ni at (0.000, 0.000, 0.000) and W at (0.000, 0.000, 0.500).

Its energy above the most stable polymorph in this dataset is 0.551 eV/atom. For the density of states at the Fermi level, the calculation gives 2.675 states/eV/f.u. The calculation puts the raw total energy at -6.294 eV per atom.